HgAuBr3: optimized geometry, PBE.

Output
Space group: Pm-3m (221)
DOS at the Fermi energy in states/eV/cell: 4.17
Magnetic moment in μB/cell: 0.0
Energy above the lowest structure with this stoichiometry in meV per atom: 293
Uncorrected formation energy in eV per atom: 0.01

The structure in POSCAR format:
```
HgAuBr3
1.0
-4.808 2.224 -0.471
-1.644 -4.162 -2.874
-1.570 -2.453 4.450
Hg Br Au
1 3 1
Cartesian
-4.011 -2.195 0.553
-0.822 -2.081 -1.437
-0.785 -1.226 2.225
-2.404 1.112 -0.235
0.000 0.000 0.000
```